A:
Density functional theory data (PBE) for crystalline TiTe3Cl at its relaxed geometry.

a b c (Å): 5.287 5.287 5.287
angles (deg): 90.00 90.00 90.00
Atoms (fractional coordinates):
Ti  0.500  0.500  0.500
Te  0.000  0.000  0.500
Te  0.000  0.500  0.000
Te  0.500  0.000  0.000
Cl  0.000  0.000  0.000

Output
Space-group type: Pm-3m (221)


B:
Density functional theory data (PBE) for crystalline TiTe3Cl at its relaxed geometry.

a b c (Å): 5.280 5.280 5.280
angles (deg): 90.00 90.00 90.00
Atoms (fractional coordinates):
Te  0.000  0.500  0.000
Te  0.500  0.000  0.000
Te  0.000  0.000  0.500
Ti  0.000  0.000  0.000
Cl  0.500  0.500  0.500

Output
Space-group type: Pm-3m (221)


Which one sits at the bottom of the stability order? A does.


A:
Density functional theory data (PBE) for crystalline Ti2TeCl at its relaxed geometry.

a b c (Å): 5.015 5.015 8.532
angles (deg): 72.91 72.91 90.00
Site moments in Bohr magnetons follow the coordinates.
Atoms (fractional coordinates):
Cl  0.250  0.750  0.500  -0.04
Ti  0.192  0.625  0.250  1.77
Ti  0.558  0.125  0.250  1.76
Te  0.000  0.000  0.000  -0.06
Ti  0.875  0.808  0.750  1.75
Cl  0.500  0.500  0.000  -0.04
Te  0.750  0.250  0.500  -0.06
Ti  0.375  0.442  0.750  1.69

Output
Space-group type: I-42d (122)


B:
Density functional theory data (PBE) for crystalline Ti2TeCl at its relaxed geometry.

a b c (Å): 4.699 4.699 4.699
angles (deg): 60.00 60.00 60.00
Site moments in Bohr magnetons follow the coordinates.
Atoms (fractional coordinates):
Te  0.500  0.500  0.500  -0.01
Ti  0.250  0.250  0.250  0.37
Cl  0.000  0.000  0.000  -0.01
Ti  0.750  0.750  0.750  0.37

Output
Space-group type: Fm-3m (225)


Which one sits at the bottom of the stability order? A does.


A:
Density functional theory data (PBE) for crystalline Tl2TeCl at its relaxed geometry.

a b c (Å): 8.158 8.158 7.354
angles (deg): 56.31 56.31 90.00
Atoms (fractional coordinates):
Tl  0.875  0.867  0.750
Te  0.000  0.000  0.000
Tl  0.617  0.125  0.250
Tl  0.375  0.383  0.750
Tl  0.133  0.625  0.250
Te  0.750  0.250  0.500
Cl  0.500  0.500  0.000
Cl  0.250  0.750  0.500

Output
Space-group type: I-42d (122)


B:
Density functional theory data (PBE) for crystalline Tl2TeCl at its relaxed geometry.

a b c (Å): 7.424 7.424 7.424
angles (deg): 152.35 135.38 53.30
Atoms (fractional coordinates):
Tl  0.012  0.012  0.000
Te  0.240  0.740  0.500
Cl  0.530  0.530  0.000
Tl  0.718  0.218  0.500

Output
Space-group type: Imm2 (44)


C:
Density functional theory data (PBE) for crystalline Tl2TeCl at its relaxed geometry.

a b c (Å): 5.762 6.528 7.628
angles (deg): 102.06 90.00 90.00
Atoms (fractional coordinates):
Tl  0.750  0.021  0.288
Te  0.250  0.455  0.547
Tl  0.250  0.979  0.712
Te  0.750  0.545  0.453
Cl  0.250  0.870  0.113
Tl  0.750  0.610  0.879
Cl  0.750  0.130  0.887
Tl  0.250  0.390  0.121

Output
Space-group type: P2_1/m (11)


D:
Density functional theory data (PBE) for crystalline Tl2TeCl at its relaxed geometry.

a b c (Å): 6.790 6.113 13.549
angles (deg): 90.00 90.00 90.00
Atoms (fractional coordinates):
Tl  0.264  0.500  0.872
Cl  0.295  0.000  0.382
Te  0.766  0.500  0.376
Tl  0.736  0.000  0.874
Cl  0.705  0.000  0.618
Tl  0.736  0.000  0.372
Tl  0.736  0.500  0.128
Tl  0.264  0.000  0.126
Tl  0.264  0.500  0.374
Cl  0.705  0.500  0.882
Tl  0.264  0.000  0.628
Te  0.766  0.000  0.124
Tl  0.736  0.500  0.626
Te  0.234  0.000  0.876
Cl  0.295  0.500  0.118
Te  0.234  0.500  0.624

Output
Space-group type: Pmna (53)


Which one sits at the bottom of the stability order? A does.


A:
Density functional theory data (PBE) for crystalline Tl2TeCl at its relaxed geometry.

a b c (Å): 7.219 7.219 4.569
angles (deg): 90.04 90.04 34.80
Atoms (fractional coordinates):
Te  0.254  0.254  0.126
Cl  0.525  0.525  0.624
Tl  0.988  0.988  0.124
Tl  0.733  0.733  0.626

Output
Space-group type: Cm (8)


B:
Density functional theory data (PBE) for crystalline Tl2TeCl at its relaxed geometry.

a b c (Å): 4.800 6.642 4.109
angles (deg): 90.00 90.00 90.00
Atoms (fractional coordinates):
Tl  0.000  0.000  0.000
Cl  0.500  0.000  0.500
Te  0.000  0.500  0.500
Tl  0.500  0.500  0.000

Output
Space-group type: Pmmm (47)


C:
Density functional theory data (PBE) for crystalline Tl2TeCl at its relaxed geometry.

a b c (Å): 5.534 5.534 5.534
angles (deg): 60.00 60.00 60.00
Atoms (fractional coordinates):
Te  0.500  0.500  0.500
Tl  0.750  0.750  0.750
Tl  0.250  0.250  0.250
Cl  0.000  0.000  0.000

Output
Space-group type: Fm-3m (225)


D:
Density functional theory data (PBE) for crystalline Tl2TeCl at its relaxed geometry.

a b c (Å): 5.818 5.818 3.648
angles (deg): 89.86 89.86 89.93
Atoms (fractional coordinates):
Tl  0.500  0.500  0.000
Tl  0.000  0.000  0.000
Te  0.000  0.500  0.500
Cl  0.500  0.000  0.500

Output
Space-group type: C2/m (12)


Which one sits at the bottom of the stability order? B does.


A:
Density functional theory data (PBE) for crystalline Tl2TeCl at its relaxed geometry.

a b c (Å): 4.463 4.463 7.207
angles (deg): 90.00 90.00 90.00
Atoms (fractional coordinates):
Tl  0.500  0.500  0.377
Te  0.500  0.500  0.878
Cl  0.000  0.000  0.326
Tl  0.000  0.000  0.919

Output
Space-group type: P4mm (99)


B:
Density functional theory data (PBE) for crystalline Tl2TeCl at its relaxed geometry.

a b c (Å): 3.475 3.999 8.951
angles (deg): 90.00 90.00 90.00
Atoms (fractional coordinates):
Tl  0.000  0.000  0.028
Tl  0.000  0.000  0.472
Cl  0.500  0.500  0.250
Te  0.500  0.500  0.750

Output
Space-group type: Pmmm (47)


Which one sits at the bottom of the stability order? B does.


A:
Density functional theory data (PBE) for crystalline Tl3TeCl at its relaxed geometry.

a b c (Å): 6.542 6.542 6.542
angles (deg): 90.00 90.00 90.00
Atoms (fractional coordinates):
Tl  0.000  0.500  0.000
Tl  0.000  0.000  0.500
Cl  0.500  0.500  0.500
Tl  0.500  0.000  0.000
Te  0.000  0.000  0.000

Output
Space-group type: Pm-3m (221)


B:
Density functional theory data (PBE) for crystalline Tl3TeCl at its relaxed geometry.

a b c (Å): 4.689 7.177 11.755
angles (deg): 102.50 78.46 109.51
Atoms (fractional coordinates):
Tl  0.622  0.254  0.012
Te  0.233  0.293  0.831
Tl  0.022  0.811  0.763
Tl  0.978  0.189  0.237
Cl  0.615  0.827  0.593
Tl  0.839  0.284  0.615
Te  0.767  0.707  0.169
Cl  0.385  0.173  0.407
Tl  0.378  0.746  0.988
Tl  0.161  0.716  0.385

Output
Space-group type: P-1 (2)


Which one sits at the bottom of the stability order? A does.